Entry 1:
DFT (PBE) results for a relaxed BaCrPt2C crystal.

a b c (Å): 4.1098 4.1098 5.5194
angles (deg): 90.00 90.00 90.00
Space group P4/mmm (No. 123)
Asymmetric unit:
Ba: 0.0000 0.0000 0.0000 (multiplicity 1)
Cr: 0.5000 0.5000 0.0000 (multiplicity 1)
Pt: 0.0000 0.5000 0.5000 (multiplicity 2)
C: 0.0000 0.0000 0.5000 (multiplicity 1)

Properties
The calculation puts the size of the total moment at 0.25 μB per formula unit. The value obtained for the calculated formation energy is 1.00 eV per atom.


Entry 2:
DFT (PBE) results for a relaxed BaCrSi2C crystal.

a b c (Å): 4.0403 4.0403 5.3317
angles (deg): 90.00 90.00 90.00
Space group P4/mmm (No. 123)
Asymmetric unit:
Ba: 0.0000 0.0000 0.0000 (multiplicity 1)
Cr: 0.5000 0.5000 0.0000 (multiplicity 1)
Si: 0.0000 0.5000 0.5000 (multiplicity 2)
C: 0.0000 0.0000 0.5000 (multiplicity 1)

Properties
The calculation puts the size of the total moment at 0.09 μB per formula unit. As for the energy relative to the elements, uncorrected: 1.384 eV per atom.


Entry 3:
DFT (PBE) results for a relaxed Ba2CrTcC crystal.

a b c (Å): 6.0437 6.0437 4.3361
angles (deg): 90.00 90.00 90.00
Space group P4/mmm (No. 123)
Asymmetric unit:
Ba: 0.0000 0.5000 0.0000 (multiplicity 2)
Cr: 0.0000 0.0000 0.5000 (multiplicity 1)
Tc: 0.0000 0.0000 0.0000 (multiplicity 1)
C: 0.5000 0.5000 0.5000 (multiplicity 1)

Properties
The calculation puts the size of the total moment at 1.55 μB per formula unit. The value obtained for the calculated formation energy is 1.76 eV per atom.


Entry 4:
DFT (PBE) results for a relaxed BaTlCrC2 crystal.

a b c (Å): 4.2343 4.2343 5.0739
angles (deg): 90.00 90.00 90.00
Space group P4/mmm (No. 123)
Asymmetric unit:
Ba: 0.0000 0.0000 0.0000 (multiplicity 1)
Tl: 0.5000 0.5000 0.0000 (multiplicity 1)
Cr: 0.5000 0.5000 0.5000 (multiplicity 1)
C: 0.0000 0.5000 0.5000 (multiplicity 2)

Properties
The calculation puts the size of the total moment at 0.00 μB per formula unit. The value obtained for the calculated formation energy is 1.20 eV per atom.